Entry from Alexandria via LeMat-Bulk: a PBEsol-optimized structure of HIrPb3 (SCAN).

```
HIrPb3
1.0
4.6219 0.0000 0.0000
0.0000 4.6219 0.0000
0.0000 0.0000 4.6219
H Ir Pb
1 1 3
direct
0.0000 0.0000 0.0000
0.5000 0.5000 0.5000
0.0000 0.0000 0.5000
0.0000 0.5000 0.0000
0.5000 0.0000 0.0000
```

Properties
As for the crystal system: cubic. As for the space group: Pm-3m (221). For the total energy, the calculation gives -59.65 eV/atom.